## 1
Compound: KZrGa2
Source: the Alexandria database
Functional: PBE-GGA
Structure: optimized geometry

Properties
Calculated volume ... 93 Å³/cell
DOS(E_F) ... 5.09 states/eV/cell
SG ... Fm-3m, No. 225
Density ... 4.82 Mg/m³

extended XYZ file:
```
4
Lattice="-3.427 -1.520 -3.434 -4.674 2.001 0.015 -1.431 3.146 -3.729" Properties=species:S:1:pos:R:3 pbc="T T T"
K 0.000 0.000 0.000
Ga -2.383 0.907 -1.787
Ga -7.149 2.720 -5.361
Zr -4.766 1.813 -3.574
```

## 2
Compound: KZrGa2
Source: the Alexandria database
Functional: PBE-GGA
Structure: optimized geometry

Properties
Calculated volume ... 267 Å³/cell
DOS(E_F) ... 12.98 states/eV/cell
SG ... I-42d, No. 122
Density ... 3.35 Mg/m³

extended XYZ file:
```
8
Lattice="5.313 0.000 0.000 0.000 5.313 0.000 2.657 2.657 9.466" Properties=species:S:1:pos:R:3 pbc="T T T"
K 2.657 2.657 0.000
K 2.657 5.313 4.733
Ga 4.848 1.328 2.366
Ga 5.779 3.985 2.366
Ga 3.985 3.122 7.099
Ga 6.642 2.191 7.099
Zr 0.000 0.000 0.000
Zr 5.313 2.657 4.733
```

What should be chosen as the most stable of them? Choose 1.

## 1
Compound: KZrGa
Source: the Alexandria database
Functional: PBE-GGA
Structure: optimized geometry

Properties
Calculated volume ... 89 Å³/cell
DOS(E_F) ... 5.01 states/eV/cell
SG ... F-43m, No. 216
Density ... 3.74 Mg/m³

extended XYZ file:
```
3
Lattice="2.947 -1.665 3.692 -2.032 -1.754 4.229 0.198 -4.898 1.031" Properties=species:S:1:pos:R:3 pbc="T T T"
K 0.278 -2.079 2.238
Ga 0.000 0.000 0.000
Zr 0.835 -6.237 6.715
```

## 2
Compound: KZrGa
Source: the Alexandria database
Functional: PBE-GGA
Structure: optimized geometry

Properties
Calculated volume ... 197 Å³/cell
DOS(E_F) ... 3.37 states/eV/cell
SG ... P1, No. 1
Density ... 3.37 Mg/m³

extended XYZ file:
```
6
Lattice="3.653 0.025 0.004 -0.112 12.667 -0.236 0.000 -0.639 4.270" Properties=species:S:1:pos:R:3 pbc="T T T"
K 1.290 -0.388 3.306
K 3.117 3.889 1.810
Ga 3.066 9.123 2.591
Ga 1.255 7.050 2.281
Zr 1.240 9.574 0.477
Zr 3.083 7.235 0.125
```

What should be chosen as the most stable of them? Choose 2.

## 1
Compound: KZrGa
Source: the Alexandria database
Functional: PBE-GGA
Structure: optimized geometry

Properties
Calculated volume ... 186 Å³/cell
DOS(E_F) ... 5.82 states/eV/cell
SG ... P-1, No. 2
Density ... 3.57 Mg/m³

extended XYZ file:
```
6
Lattice="-1.353 -3.103 -0.710 11.086 -5.135 -5.474 1.163 -1.338 3.635" Properties=species:S:1:pos:R:3 pbc="T T T"
K 9.478 -5.018 -3.771
K 1.419 -4.558 1.223
Ga 7.123 -6.469 -1.305
Ga 3.773 -3.106 -1.243
Zr 6.336 -3.956 -2.377
Zr 4.560 -5.620 -0.171
```

## 2
Compound: KZrGa
Source: the Alexandria database
Functional: PBE-GGA
Structure: optimized geometry

Properties
Calculated volume ... 212 Å³/cell
DOS(E_F) ... 3.27 states/eV/cell
SG ... P1, No. 1
Density ... 3.13 Mg/m³

extended XYZ file:
```
6
Lattice="-10.974 7.697 0.799 0.131 -4.160 2.023 1.790 3.685 2.154" Properties=species:S:1:pos:R:3 pbc="T T T"
K -0.724 2.172 2.215
K -8.843 6.648 1.343
Zr -5.800 4.617 2.270
Zr -4.801 1.683 1.477
Ga -3.365 4.116 1.094
Ga -4.798 7.138 2.097
```

What should be chosen as the most stable of them? Choose 1.

## 1
Compound: KZrGa
Source: the Alexandria database
Functional: PBE-GGA
Structure: optimized geometry

Properties
Calculated volume ... 216 Å³/cell
DOS(E_F) ... 4.62 states/eV/cell
SG ... P-1, No. 2
Density ... 3.07 Mg/m³

extended XYZ file:
```
6
Lattice="-2.945 -1.243 3.979 -4.615 -9.877 -4.015 2.116 -1.460 3.355" Properties=species:S:1:pos:R:3 pbc="T T T"
K -5.246 -9.869 1.691
K -0.198 -2.711 1.628
Ga -2.410 -7.451 0.955
Ga -3.035 -5.130 2.364
Zr -2.818 -7.603 3.817
Zr -2.627 -4.978 -0.497
```

## 2
Compound: KZrGa
Source: the Alexandria database
Functional: PBE-GGA
Structure: optimized geometry

Properties
Calculated volume ... 365 Å³/cell
DOS(E_F) ... 16.85 states/eV/cell
SG ... Pnma, No. 62
Density ... 3.64 Mg/m³

extended XYZ file:
```
12
Lattice="6.333 0.000 0.000 0.000 3.911 0.000 0.000 0.000 14.737" Properties=species:S:1:pos:R:3 pbc="T T T"
K 4.747 0.978 8.009
K 4.753 2.933 0.641
K 1.587 2.933 6.728
K 1.580 0.978 14.096
Ga 4.743 0.978 12.280
Ga 4.757 2.933 4.912
Ga 1.591 2.933 2.456
Ga 1.576 0.978 9.825
Zr 3.174 0.978 3.685
Zr 6.326 2.933 11.053
Zr 3.159 2.933 11.052
Zr 0.007 0.978 3.684
```

## 3
Compound: KZrGa
Source: the Alexandria database
Functional: PBE-GGA
Structure: optimized geometry

Properties
Calculated volume ... 186 Å³/cell
DOS(E_F) ... 5.80 states/eV/cell
SG ... P2_1/m, No. 11
Density ... 3.58 Mg/m³

extended XYZ file:
```
6
Lattice="3.467 0.000 -0.001 0.000 4.036 0.000 -0.154 0.000 13.271" Properties=species:S:1:pos:R:3 pbc="T T T"
K 2.527 1.009 11.196
K 0.786 3.027 2.075
Ga 2.520 1.009 4.667
Ga 0.793 3.027 8.604
Zr 2.524 1.009 7.596
Zr 0.789 3.027 5.675
```

What should be chosen as the most stable of them? Choose 3.

## 1
Compound: KZrGa
Source: the Alexandria database
Functional: PBE-GGA
Structure: optimized geometry

Properties
Calculated volume ... 216 Å³/cell
DOS(E_F) ... 1.16 states/eV/cell
SG ... P1, No. 1
Density ... 3.07 Mg/m³

extended XYZ file:
```
6
Lattice="12.018 -0.016 -0.025 0.127 4.295 -0.002 -0.665 2.161 4.193" Properties=species:S:1:pos:R:3 pbc="T T T"
K 1.835 3.277 2.385
K 9.603 3.036 4.049
Zr 7.184 3.130 0.979
Zr 5.109 1.038 1.798
Ga 4.546 3.203 0.059
Ga 6.031 3.157 3.520
```

## 2
Compound: KZrGa
Source: the Alexandria database
Functional: PBE-GGA
Structure: optimized geometry

Properties
Calculated volume ... 144 Å³/cell
DOS(E_F) ... 0.92 states/eV/cell
SG ... P6_3/mmc, No. 194
Density ... 4.61 Mg/m³

extended XYZ file:
```
6
Lattice="-2.117 2.351 -4.263 -2.837 -0.453 4.464 2.073 5.214 1.846" Properties=species:S:1:pos:R:3 pbc="T T T"
K 0.000 0.000 0.000
K 1.037 2.607 0.923
Ga -1.042 4.392 2.940
Ga -1.839 2.720 -0.892
Zr -2.079 1.785 2.017
Zr -0.802 5.327 0.031
```

What should be chosen as the most stable of them? Choose 1.

## 1
Compound: KZrGa
Source: the Alexandria database
Functional: PBE-GGA
Structure: optimized geometry

Properties
Calculated volume ... 285 Å³/cell
DOS(E_F) ... 11.77 states/eV/cell
SG ... P6_3/mmc, No. 194
Density ... 2.33 Mg/m³

extended XYZ file:
```
6
Lattice="4.837 -2.793 0.000 0.000 5.585 0.000 0.000 0.000 10.545" Properties=species:S:1:pos:R:3 pbc="T T T"
K 1.612 2.793 2.636
K 3.225 0.000 7.909
Ga 0.000 0.000 2.636
Ga 0.000 0.000 7.909
Zr 0.000 0.000 0.000
Zr 0.000 0.000 5.273
```

## 2
Compound: KZrGa
Source: the Alexandria database
Functional: PBE-GGA
Structure: optimized geometry

Properties
Calculated volume ... 338 Å³/cell
DOS(E_F) ... 5.51 states/eV/cell
SG ... Pnma, No. 62
Density ... 3.93 Mg/m³

extended XYZ file:
```
12
Lattice="-8.008 -3.276 -0.243 0.925 -2.548 3.884 -2.686 6.216 4.717" Properties=species:S:1:pos:R:3 pbc="T T T"
K -2.113 4.723 5.045
K -4.265 -1.278 4.508
K -7.657 -4.331 3.313
K -5.505 1.670 3.850
Ga -7.210 -1.082 2.450
Ga -7.130 1.145 6.780
Ga -2.560 1.474 5.908
Ga -2.640 -0.753 1.578
Zr -1.846 1.743 3.027
Zr -4.949 2.668 7.260
Zr -7.924 -1.352 5.331
Zr -4.821 -2.277 1.098
```

## 3
Compound: KZrGa
Source: the Alexandria database
Functional: PBE-GGA
Structure: optimized geometry

Properties
Calculated volume ... 204 Å³/cell
DOS(E_F) ... 2.40 states/eV/cell
SG ... P1, No. 1
Density ... 3.26 Mg/m³

extended XYZ file:
```
6
Lattice="11.731 -0.090 -0.038 -1.166 5.063 0.032 -1.124 3.708 3.465" Properties=species:S:1:pos:R:3 pbc="T T T"
K 0.928 5.229 0.317
K 8.457 5.846 2.455
Zr 6.471 2.944 1.330
Zr 6.163 0.286 0.283
Ga 3.407 3.132 1.443
Ga 3.579 6.237 2.668
```

What should be chosen as the most stable of them? Choose 3.

## 1
Compound: KZrGa
Source: the Alexandria database
Functional: PBE-GGA
Structure: optimized geometry

Properties
Calculated volume ... 77 Å³/cell
DOS(E_F) ... 2.01 states/eV/cell
SG ... P-6m2, No. 187
Density ... 4.30 Mg/m³

extended XYZ file:
```
3
Lattice="-3.904 2.292 -2.692 0.085 -5.236 0.571 -1.711 0.268 2.710" Properties=species:S:1:pos:R:3 pbc="T T T"
K -3.430 -0.083 -0.250
Ga 0.000 0.000 0.000
Zr -1.244 -2.726 -0.517
```

## 2
Compound: KZrGa
Source: the Alexandria database
Functional: PBE-GGA
Structure: optimized geometry

Properties
Calculated volume ... 201 Å³/cell
DOS(E_F) ... 4.14 states/eV/cell
SG ... P1, No. 1
Density ... 3.31 Mg/m³

extended XYZ file:
```
6
Lattice="-0.236 1.010 -3.574 11.408 -5.526 -2.210 -2.528 -3.325 -0.772" Properties=species:S:1:pos:R:3 pbc="T T T"
K -0.228 -0.052 -1.343
K 1.558 -3.509 -4.350
Ga 5.953 -6.998 -3.716
Ga 4.245 -5.379 -5.084
Zr 7.273 -4.952 -5.162
Zr 5.454 -4.100 -2.865
```

## 3
Compound: KZrGa
Source: the Alexandria database
Functional: PBE-GGA
Structure: optimized geometry

Properties
Calculated volume ... 180 Å³/cell
DOS(E_F) ... 5.43 states/eV/cell
SG ... Pm, No. 6
Density ... 3.69 Mg/m³

extended XYZ file:
```
6
Lattice="14.118 0.000 0.002 0.000 3.882 0.000 -0.054 0.000 3.286" Properties=species:S:1:pos:R:3 pbc="T T T"
K 0.434 0.000 2.371
K 4.708 1.941 0.560
Ga 10.043 0.000 2.293
Ga 7.127 0.000 2.241
Zr 11.489 1.941 0.675
Zr 8.497 1.941 0.621
```

## 4
Compound: KZrGa
Source: the Alexandria database
Functional: PBE-GGA
Structure: optimized geometry

Properties
Calculated volume ... 390 Å³/cell
DOS(E_F) ... 9.10 states/eV/cell
SG ... Pnma, No. 62
Density ... 3.40 Mg/m³

extended XYZ file:
```
12
Lattice="-0.366 -5.122 12.914 -3.207 -4.069 -1.705 4.164 -2.857 -1.015" Properties=species:S:1:pos:R:3 pbc="T T T"
K 3.073 -7.826 8.534
K -0.596 -8.202 7.611
K -2.482 -4.222 1.659
K 1.187 -3.845 2.582
Ga 0.000 0.000 0.000
Ga 0.296 -6.024 5.097
Ga 1.899 -3.990 5.949
Ga -1.603 -2.034 -0.852
Zr -0.984 -3.573 6.017
Zr -0.323 -4.485 -1.773
Zr 1.576 -8.474 4.176
Zr 0.915 -7.563 11.967
```

What should be chosen as the most stable of them? Choose 2.

## 1
Compound: La3Ga
Source: the Alexandria database
Functional: PBE-GGA
Structure: optimized geometry

Properties
Calculated volume ... 120 Å³/cell
DOS(E_F) ... 5.10 states/eV/cell
SG ... I4/mmm, No. 139
Density ... 6.75 Mg/m³

extended XYZ file:
```
4
Lattice="-1.565 -3.976 -2.297 2.604 -2.767 3.016 -4.484 3.100 2.813" Properties=species:S:1:pos:R:3 pbc="T T T"
Ga 0.000 0.000 0.000
La -2.765 -2.124 0.438
La -0.680 -1.520 3.095
La 0.519 -3.372 0.360
```

## 2
Compound: La3Ga
Source: the Alexandria database
Functional: PBE-GGA
Structure: optimized geometry

Properties
Calculated volume ... 120 Å³/cell
DOS(E_F) ... 5.30 states/eV/cell
SG ... Pm-3m, No. 221
Density ... 6.71 Mg/m³

extended XYZ file:
```
4
Lattice="4.937 0.000 0.000 0.000 4.937 0.000 0.000 0.000 4.937" Properties=species:S:1:pos:R:3 pbc="T T T"
Ga 0.000 0.000 0.000
La 0.000 2.468 2.468
La 2.468 2.468 0.000
La 2.468 0.000 2.468
```

## 3
Compound: La3Ga
Source: the Alexandria database
Functional: PBE-GGA
Structure: optimized geometry

Properties
Calculated volume ... 249 Å³/cell
DOS(E_F) ... 9.25 states/eV/cell
SG ... P2_1/m, No. 11
Density ... 6.48 Mg/m³

extended XYZ file:
```
8
Lattice="-3.006 3.287 -2.297 -5.508 -4.194 1.204 -0.446 3.800 6.022" Properties=species:S:1:pos:R:3 pbc="T T T"
La -4.324 1.427 4.966
La -7.177 -0.842 -0.016
La -4.636 1.466 -0.037
La -1.783 3.735 4.944
La -1.992 1.645 2.227
La -6.968 1.247 2.702
Ga -4.672 -0.898 2.095
Ga -4.288 3.790 2.834
```

## 4
Compound: La3Ga
Source: the Alexandria database
Functional: PBE-GGA
Structure: optimized geometry

Properties
Calculated volume ... 135 Å³/cell
DOS(E_F) ... 5.06 states/eV/cell
SG ... Pmm2, No. 25
Density ... 6.00 Mg/m³

extended XYZ file:
```
4
Lattice="-3.473 0.486 0.414 -0.651 -2.487 -2.545 -0.172 -7.510 7.383" Properties=species:S:1:pos:R:3 pbc="T T T"
Ga -0.168 -7.346 7.222
La -0.405 -4.729 2.155
La -2.089 -2.181 0.095
La -1.863 -5.268 5.625
```

What should be chosen as the most stable of them? Choose 3.